Below is an optimized crystal structure of AcPm6Nd, with properties calculated at the GGA-PBE level.

**Final energy**: -37.19 eV per formula unit

a b c (Å): 5.221 5.221 10.449
angles (deg): 90.00 90.00 90.00
Space group P4/mmm (No. 123)
Symmetry-distinct sites (fractional):
Ac: 0.000 0.000 0.000 (multiplicity 1)
Pm: 0.000 0.500 0.256 (multiplicity 4)
Pm: 0.500 0.500 0.000 (multiplicity 1)
Pm: 0.500 0.500 0.500 (multiplicity 1)
Nd: 0.000 0.000 0.500 (multiplicity 1)